Entry 1:
DFT (PBE-GGA) results for an optimized crystal structure of Pa4Co12Si3Os.

## Properties
Calculated volume: 15.83 Å³/atom
Uncorrected formation energy: 3.05 eV per formula unit

Structure (extended XYZ):
```
20
Lattice="-6.806 -1.103 2.788 0.861 -4.111 -6.138 5.096 -1.977 5.043" Properties=species:S:1:pos:R:3 pbc="T T T"
Pa -0.424 -3.596 0.847
Pa 2.548 -0.989 2.522
Pa -3.403 -0.552 1.394
Pa 0.431 -2.055 -3.069
Co 2.551 -3.814 1.411
Co -1.264 -2.278 5.790
Co -0.446 -0.803 2.042
Co -3.400 -3.377 0.283
Co -4.395 -3.855 -2.476
Co -1.550 -1.359 -0.873
Co -2.341 -2.844 3.078
Co 1.492 -4.348 -1.384
Co 0.634 -3.062 3.642
Co 4.404 -4.501 -0.809
Co -1.483 -4.129 -1.948
Co 1.553 -1.587 -0.285
Si -0.855 -1.540 3.916
Si -2.972 -2.607 -1.675
Si 2.978 -3.044 -0.547
Os 0.000 0.000 0.000
```

---

Entry 2:
DFT (PBE-GGA) results for an optimized crystal structure of La2ZrRe.

## Properties
E_form: 0.537 eV/atom
Calculated volume: 24.04 Å³/atom
Distance to the lowest polymorph of the same formula: 1.72 eV/f.u.

Structure (extended XYZ):
```
4
Lattice="6.093 -0.023 0.000 -3.141 5.221 0.000 0.000 0.000 3.029" Properties=species:S:1:pos:R:3 pbc="T T T"
La 0.000 0.000 0.000
La 1.476 2.599 0.000
Re 3.046 -0.011 1.515
Zr -1.571 2.610 1.515
```

---

Entry 3:
DFT (PBE-GGA) results for an optimized crystal structure of Y2FeRh.

## Properties
E_form: 0.034 eV/atom
Calculated volume: 19.39 Å³/atom

Structure (extended XYZ):
```
4
Lattice="-0.201 3.891 -2.781 -4.205 1.481 -1.744 -1.993 4.025 1.656" Properties=species:S:1:pos:R:3 pbc="T T T"
Fe -3.199 4.699 -1.435
Rh -4.799 7.048 -2.152
Y 0.000 0.000 0.000
Y -1.600 2.349 -0.717
```

---

Entry 4:
DFT (PBE-GGA) results for an optimized crystal structure of PuPaAlTc.

## Properties
E_form: -0.007 eV/atom
Calculated volume: 20.95 Å³/atom

Structure (extended XYZ):
```
4
Lattice="-4.644 -0.079 -1.597 -3.456 -2.313 2.613 -3.449 2.592 2.348" Properties=species:S:1:pos:R:3 pbc="T T T"
Al -8.662 0.150 2.523
Pa 0.000 0.000 0.000
Tc -2.887 0.050 0.841
Pu -5.775 0.100 1.682
```

---

Entry 5:
DFT (PBE-GGA) results for an optimized crystal structure of Tb3Tm4Hg4.

## Properties
E_form: -0.266 eV/atom
Calculated volume: 27.81 Å³/atom

Structure (extended XYZ):
```
11
Lattice="-4.366 0.863 2.545 -3.311 -5.040 -3.972 5.937 -3.663 6.263" Properties=species:S:1:pos:R:3 pbc="T T T"
Tb 0.436 -1.196 1.154
Tb -2.177 -6.645 3.682
Tb -1.655 -2.520 -1.986
Tm 2.115 -2.542 4.491
Tm -2.328 -2.973 2.178
Tm -3.856 -5.299 0.345
Tm 0.588 -4.868 2.658
Hg -0.864 -4.689 0.107
Hg -0.876 -3.151 4.729
Hg -4.808 -3.564 -1.877
Hg -2.869 -0.613 0.449
```

---

Entry 6:
DFT (PBE-GGA) results for an optimized crystal structure of KPtCl2.

## Properties
Calculated volume: 28.43 Å³/atom
Uncorrected formation energy: -2.69 eV per formula unit
Distance to the lowest polymorph of the same formula: 0.52 eV/f.u.

Structure (extended XYZ):
```
4
Lattice="-1.148 -0.609 4.833 3.616 -2.876 1.923 3.062 3.063 2.625" Properties=species:S:1:pos:R:3 pbc="T T T"
K 1.382 -0.106 2.345
Pt 4.147 -0.317 7.036
Cl 5.279 -0.419 8.969
Cl 3.015 -0.215 5.103
```

---

Entry 7:
DFT (PBE-GGA) results for an optimized crystal structure of Sr2YTa.

## Properties
E_form: 1.142 eV/atom
Calculated volume: 35.28 Å³/atom
Distance to the lowest polymorph of the same formula: 2.36 eV/f.u.

Structure (extended XYZ):
```
8
Lattice="-9.295 0.729 -0.687 -0.973 -8.089 4.585 -5.216 -2.081 4.753" Properties=species:S:1:pos:R:3 pbc="T T T"
Y -5.134 -3.680 1.949
Y -5.662 -6.925 5.643
Sr -7.544 -1.052 1.309
Sr -2.766 -5.509 3.991
Sr -7.730 -4.052 4.875
Sr -12.929 -8.269 7.128
Ta 0.000 0.000 0.000
Ta -9.823 -2.516 3.008
```

---

Entry 8:
DFT (PBE-GGA) results for an optimized crystal structure of LaGeN2F.

## Properties
Calculated volume: 18.54 Å³/atom
Uncorrected formation energy: 0.00 eV per formula unit
Distance to the lowest polymorph of the same formula: 6.83 eV/f.u.

Structure (extended XYZ):
```
5
Lattice="4.521 0.000 0.000 0.000 4.521 0.000 0.000 0.000 4.536" Properties=species:S:1:pos:R:3 pbc="T T T"
N 0.000 2.261 0.000
N 2.261 0.000 0.000
Ge 2.261 2.261 2.268
F 0.000 0.000 2.268
La 0.000 0.000 0.000
```

---

Entry 9:
DFT (PBE-GGA) results for an optimized crystal structure of CsUN2.

## Properties
Calculated volume: 19.68 Å³/atom
Uncorrected formation energy: -3.49 eV per formula unit
Distance to the lowest polymorph of the same formula: 0.00 eV/f.u.

Structure (extended XYZ):
```
4
Lattice="3.580 0.000 0.000 1.790 3.100 0.000 1.790 1.033 7.096" Properties=species:S:1:pos:R:3 pbc="T T T"
Cs 3.580 2.067 3.548
U 0.000 0.000 0.000
N 5.369 3.100 6.120
N 1.790 1.033 0.976
```

---

Entry 10:
DFT (PBE-GGA) results for an optimized crystal structure of Tb6PmDy2Ho.

## Properties
E_form: 0.119 eV/atom
Calculated volume: 32.44 Å³/atom

Structure (extended XYZ):
```
20
Lattice="-7.265 -0.132 -6.232 0.590 -8.761 0.400 -4.651 4.088 6.239" Properties=species:S:1:pos:R:3 pbc="T T T"
Tb -3.827 1.988 4.380
Tb -7.159 1.342 2.810
Tb -7.499 -6.793 -3.973
Tb -4.167 -6.147 -2.403
Tb -3.730 -6.881 1.125
Tb -1.082 -4.922 -0.811
Tb -7.596 2.076 -0.717
Tb -10.244 0.116 1.218
Tb -2.742 -4.206 2.611
Tb -3.822 -3.303 -0.346
Tb -8.584 -0.600 -2.204
Tb -7.504 -1.503 0.754
Pm -1.353 -8.482 -1.016
Pm -9.973 3.676 1.423
Dy -6.075 -4.229 1.838
Dy -1.074 -1.844 1.079
Dy -5.251 -0.577 -1.431
Dy -10.252 -2.962 -0.672
Ho -4.323 -1.203 2.292
Ho -7.003 -3.603 -1.885
```

---

Entry 11:
DFT (PBE-GGA) results for an optimized crystal structure of Ce2Pm2Os3.

## Properties
E_form: -0.112 eV/atom
Calculated volume: 23.55 Å³/atom

Structure (extended XYZ):
```
7
Lattice="4.755 -0.003 0.006 -2.375 4.076 -0.645 -0.010 -1.408 8.729" Properties=species:S:1:pos:R:3 pbc="T T T"
Ce 2.370 -0.221 7.436
Ce 0.000 2.886 0.655
Pm 2.374 2.173 4.950
Pm -0.004 0.492 3.141
Os 0.000 0.000 0.000
Os 2.376 1.656 1.707
Os -0.006 1.008 6.383
```

---

Entry 12:
DFT (PBE-GGA) results for an optimized crystal structure of Na2Li2H.

## Properties
Calculated volume: 24.05 Å³/atom
Distance to the lowest polymorph of the same formula: 0.02 eV/f.u.

Structure (extended XYZ):
```
10
Lattice="6.272 0.000 0.000 0.000 6.272 0.000 0.000 0.000 6.113" Properties=species:S:1:pos:R:3 pbc="T T T"
Na 1.915 5.051 0.000
Na 5.051 4.357 0.000
Na 4.357 1.221 0.000
Na 1.221 1.915 0.000
H 0.000 0.000 0.000
H 3.136 3.136 0.000
Li 1.068 4.204 3.056
Li 4.204 5.204 3.056
Li 5.204 2.068 3.056
Li 2.068 1.068 3.056
```

---

Uncorrected energy list, top to bottom, in eV/atom: -7.385; -7.176; -7.151; -9.491; -3.264; -3.380; -4.279; -5.613; -8.071; -4.513; -7.977; -1.779